# NbCuS3 (PBE, relaxed)
# M_tot = 1.495 μB per formula unit
# Crystal system = cubic
# Calculated volume = 87 Å³ per cell
# Total DFT energy (no corrections) = -0.354 Ry per atom
data_NbCuS3
_chemical_formula_sum 'Nb1 Cu1 S3'
_cell_length_a 4.4375
_cell_length_b 4.4375
_cell_length_c 4.4375
_cell_angle_alpha 90.00
_cell_angle_beta 90.00
_cell_angle_gamma 90.00
_space_group_name_H-M_alt 'P m -3 m'
_space_group_IT_number 221
_space_group_name_Hall '-P 4 2 3'
loop_
_atom_site_label
_atom_site_type_symbol
_atom_site_fract_x
_atom_site_fract_y
_atom_site_fract_z
Nb1 Nb 0.0000 0.0000 0.0000
Cu1 Cu 0.5000 0.5000 0.5000
S1 S 0.0000 0.5000 0.5000



# ScNbCu2S (PBE, relaxed)
# M_tot = 2.218 μB per formula unit
# Crystal system = tetragonal
# Calculated volume = 100 Å³ per cell
# Total DFT energy (no corrections) = -0.365 Ry per atom
data_ScNbCu2S
_chemical_formula_sum 'Sc1 Nb1 Cu2 S1'
_cell_length_a 4.6719
_cell_length_b 4.6719
_cell_length_c 4.5965
_cell_angle_alpha 90.00
_cell_angle_beta 90.00
_cell_angle_gamma 90.00
_space_group_name_H-M_alt 'P 4/m m m'
_space_group_IT_number 123
_space_group_name_Hall '-P 4 2'
loop_
_atom_site_label
_atom_site_type_symbol
_atom_site_fract_x
_atom_site_fract_y
_atom_site_fract_z
Sc1 Sc 0.0000 0.0000 0.0000
Nb1 Nb 0.5000 0.5000 0.5000
Cu1 Cu 0.0000 0.5000 0.0000
S1 S 0.0000 0.0000 0.5000



# TiNbCuS2 (PBE, relaxed)
# M_tot = 0.076 μB per formula unit
# Crystal system = tetragonal
# Calculated volume = 105 Å³ per cell
# Total DFT energy (no corrections) = -0.420 Ry per atom
data_TiNbCuS2
_chemical_formula_sum 'Ti1 Nb1 Cu1 S2'
_cell_length_a 4.6837
_cell_length_b 4.6837
_cell_length_c 4.7904
_cell_angle_alpha 90.00
_cell_angle_beta 90.00
_cell_angle_gamma 90.00
_space_group_name_H-M_alt 'P 4/m m m'
_space_group_IT_number 123
_space_group_name_Hall '-P 4 2'
loop_
_atom_site_label
_atom_site_type_symbol
_atom_site_fract_x
_atom_site_fract_y
_atom_site_fract_z
Ti1 Ti 0.0000 0.0000 0.0000
Nb1 Nb 0.5000 0.5000 0.5000
Cu1 Cu 0.5000 0.5000 0.0000
S1 S 0.0000 0.5000 0.5000



# NbTl2Cu2S4 (PBE, relaxed)
# M_tot = 0.235 μB per formula unit
# Crystal system = monoclinic
# Calculated volume = 370 Å³ per cell
# Total DFT energy (no corrections) = -0.360 Ry per atom
data_NbTl2Cu2S4
_chemical_formula_sum 'Nb2 Tl4 Cu4 S8'
_cell_length_a 13.7008
_cell_length_b 3.6184
_cell_length_c 7.8382
_cell_angle_alpha 90.00
_cell_angle_beta 107.77
_cell_angle_gamma 90.00
_space_group_name_H-M_alt 'C 1 2/m 1'
_space_group_IT_number 12
_space_group_name_Hall '-C 2y'
loop_
_atom_site_label
_atom_site_type_symbol
_atom_site_fract_x
_atom_site_fract_y
_atom_site_fract_z
Nb1 Nb 0.0000 0.0000 0.0000
Tl1 Tl 0.1386 0.0000 0.5553
Cu1 Cu 0.1752 0.5000 0.9754
S1 S 0.0156 0.5000 0.7780
S2 S 0.1909 0.0000 0.1681



# NbTlCu2S4 (PBE, relaxed)
# M_tot = 0.000 μB per formula unit
# Crystal system = orthorhombic
# Calculated volume = 727 Å³ per cell
# Total DFT energy (no corrections) = -0.375 Ry per atom
data_NbTlCu2S4
_chemical_formula_sum 'Nb4 Tl4 Cu8 S16'
_cell_length_a 8.6777
_cell_length_b 8.6940
_cell_length_c 9.6402
_cell_angle_alpha 90.00
_cell_angle_beta 90.00
_cell_angle_gamma 90.00
_space_group_name_H-M_alt 'F m m 2'
_space_group_IT_number 42
_space_group_name_Hall 'F 2 -2'
loop_
_atom_site_label
_atom_site_type_symbol
_atom_site_fract_x
_atom_site_fract_y
_atom_site_fract_z
Nb1 Nb 0.0000 0.0000 0.0000
Tl1 Tl 0.0000 0.0000 0.5011
Cu1 Cu 0.2500 0.2500 0.2499
S1 S 0.0000 0.2055 0.1529
S2 S 0.2061 0.0000 0.8472



# NbTl2CuS4 (PBE, relaxed)
# M_tot = 0.000 μB per formula unit
# Crystal system = orthorhombic
# Calculated volume = 461 Å³ per cell
# Total DFT energy (no corrections) = -0.367 Ry per atom
data_NbTl2CuS4
_chemical_formula_sum 'Nb2 Tl4 Cu2 S8'
_cell_length_a 7.7906
_cell_length_b 9.1157
_cell_length_c 6.4881
_cell_angle_alpha 90.00
_cell_angle_beta 90.00
_cell_angle_gamma 90.00
_space_group_name_H-M_alt 'P m n 21'
_space_group_IT_number 31
_space_group_name_Hall 'P 2ac -2'
loop_
_atom_site_label
_atom_site_type_symbol
_atom_site_fract_x
_atom_site_fract_y
_atom_site_fract_z
Nb1 Nb 0.0000 0.1333 0.0000
Tl1 Tl 0.2459 0.6682 0.0675
Cu1 Cu 0.0000 0.8616 0.5105
S1 S 0.0000 0.0986 0.6473
S2 S 0.0000 0.9074 0.1544
S3 S 0.2467 0.2644 0.0792



# Nb2V3Cu15S20 (PBE, relaxed)
# M_tot = 0.000 μB per formula unit
# Crystal system = tetragonal
# Calculated volume = 812 Å³ per cell
# Total DFT energy (no corrections) = -0.396 Ry per atom
data_Nb2V3Cu15S20
_chemical_formula_sum 'Nb2 V3 Cu15 S20'
_cell_length_a 5.4569
_cell_length_b 5.4569
_cell_length_c 27.2764
_cell_angle_alpha 90.00
_cell_angle_beta 90.00
_cell_angle_gamma 90.00
_space_group_name_H-M_alt 'P -4 2 m'
_space_group_IT_number 111
_space_group_name_Hall 'P -4 2'
loop_
_atom_site_label
_atom_site_type_symbol
_atom_site_fract_x
_atom_site_fract_y
_atom_site_fract_z
Nb1 Nb 0.0000 0.0000 0.1016
V1 V 0.0000 0.0000 0.3022
V2 V 0.0000 0.0000 0.5000
Cu1 Cu 0.0000 0.0000 0.0000
Cu2 Cu 0.0000 0.0000 0.2034
Cu3 Cu 0.0000 0.0000 0.4011
Cu4 Cu 0.0000 0.5000 0.1015
Cu5 Cu 0.0000 0.5000 0.3021
Cu6 Cu 0.0000 0.5000 0.5000
S1 S 0.2355 0.2355 0.3489
S2 S 0.2354 0.2354 0.5467
S3 S 0.2351 0.2351 0.7446
S4 S 0.2451 0.2451 0.9480
S5 S 0.2456 0.2456 0.1512



# NbV2Cu2S6 (PBE, relaxed)
# M_tot = 0.000 μB per formula unit
# Crystal system = monoclinic
# Calculated volume = 410 Å³ per cell
# Total DFT energy (no corrections) = -0.461 Ry per atom
data_NbV2Cu2S6
_chemical_formula_sum 'Nb2 V4 Cu4 S12'
_cell_length_a 5.7043
_cell_length_b 10.1790
_cell_length_c 7.3472
_cell_angle_alpha 90.00
_cell_angle_beta 106.07
_cell_angle_gamma 90.00
_space_group_name_H-M_alt 'C 1 2/m 1'
_space_group_IT_number 12
_space_group_name_Hall '-C 2y'
loop_
_atom_site_label
_atom_site_type_symbol
_atom_site_fract_x
_atom_site_fract_y
_atom_site_fract_z
Nb1 Nb 0.0000 0.0000 0.0000
V1 V 0.0000 0.3665 0.0000
Cu1 Cu 0.0000 0.1923 0.5000
S1 S 0.0816 0.5000 0.7748
S2 S 0.1035 0.1781 0.8041



# NbVCuS2 (PBE, relaxed)
# M_tot = 2.331 μB per formula unit
# Crystal system = tetragonal
# Calculated volume = 89 Å³ per cell
# Total DFT energy (no corrections) = -0.432 Ry per atom
data_NbVCuS2
_chemical_formula_sum 'Nb1 V1 Cu1 S2'
_cell_length_a 4.4349
_cell_length_b 4.4349
_cell_length_c 4.5241
_cell_angle_alpha 90.00
_cell_angle_beta 90.00
_cell_angle_gamma 90.00
_space_group_name_H-M_alt 'P 4/m m m'
_space_group_IT_number 123
_space_group_name_Hall '-P 4 2'
loop_
_atom_site_label
_atom_site_type_symbol
_atom_site_fract_x
_atom_site_fract_y
_atom_site_fract_z
Nb1 Nb 0.0000 0.0000 0.0000
V1 V 0.5000 0.5000 0.5000
Cu1 Cu 0.5000 0.5000 0.0000
S1 S 0.0000 0.5000 0.5000



# Nb2ZnCuS (PBE, relaxed)
# M_tot = 0.000 μB per formula unit
# Crystal system = tetragonal
# Calculated volume = 102 Å³ per cell
# Total DFT energy (no corrections) = -0.331 Ry per atom
data_Nb2ZnCuS
_chemical_formula_sum 'Nb2 Zn1 Cu1 S1'
_cell_length_a 4.8282
_cell_length_b 4.8282
_cell_length_c 4.3901
_cell_angle_alpha 90.00
_cell_angle_beta 90.00
_cell_angle_gamma 90.00
_space_group_name_H-M_alt 'P 4/m m m'
_space_group_IT_number 123
_space_group_name_Hall '-P 4 2'
loop_
_atom_site_label
_atom_site_type_symbol
_atom_site_fract_x
_atom_site_fract_y
_atom_site_fract_z
Nb1 Nb 0.0000 0.5000 0.0000
Zn1 Zn 0.0000 0.0000 0.0000
Cu1 Cu 0.5000 0.5000 0.5000
S1 S 0.0000 0.0000 0.5000



# NbCuSb3 (PBE, relaxed)
# M_tot = 2.573 μB per formula unit
# Crystal system = cubic
# Energy above the lowest structure with this stoichiometry = 0.167 eV per atom
# Calculated volume = 127 Å³ per cell
# Total DFT energy (no corrections) = -0.330 Ry per atom
data_NbCuSb3
_chemical_formula_sum 'Nb1 Cu1 Sb3'
_cell_length_a 5.0225
_cell_length_b 5.0225
_cell_length_c 5.0225
_cell_angle_alpha 90.00
_cell_angle_beta 90.00
_cell_angle_gamma 90.00
_space_group_name_H-M_alt 'P m -3 m'
_space_group_IT_number 221
_space_group_name_Hall '-P 4 2 3'
loop_
_atom_site_label
_atom_site_type_symbol
_atom_site_fract_x
_atom_site_fract_y
_atom_site_fract_z
Nb1 Nb 0.0000 0.0000 0.0000
Cu1 Cu 0.5000 0.5000 0.5000
Sb1 Sb 0.0000 0.5000 0.5000



# Nb2Cu2Sb (PBE, relaxed)
# M_tot = 0.000 μB per formula unit
# Crystal system = tetragonal
# Calculated volume = 166 Å³ per cell
# Total DFT energy (no corrections) = -0.469 Ry per atom
data_Nb2Cu2Sb
_chemical_formula_sum 'Nb4 Cu4 Sb2'
_cell_length_a 6.5287
_cell_length_b 6.5287
_cell_length_c 3.8870
_cell_angle_alpha 90.00
_cell_angle_beta 90.00
_cell_angle_gamma 90.00
_space_group_name_H-M_alt 'P 4/m b m'
_space_group_IT_number 127
_space_group_name_Hall '-P 4 2ab'
loop_
_atom_site_label
_atom_site_type_symbol
_atom_site_fract_x
_atom_site_fract_y
_atom_site_fract_z
Nb1 Nb 0.1689 0.3311 0.0000
Cu1 Cu 0.1260 0.6260 0.5000
Sb1 Sb 0.0000 0.0000 0.5000



# NbCuSb3 (PBE, relaxed)
# M_tot = 0.000 μB per formula unit
# Crystal system = cubic
# Energy above the lowest structure with this stoichiometry = 0.000 eV per atom
# Calculated volume = 151 Å³ per cell
# Total DFT energy (no corrections) = -0.342 Ry per atom
data_NbCuSb3
_chemical_formula_sum 'Nb1 Cu1 Sb3'
_cell_length_a 5.3266
_cell_length_b 5.3266
_cell_length_c 5.3266
_cell_angle_alpha 90.00
_cell_angle_beta 90.00
_cell_angle_gamma 90.00
_space_group_name_H-M_alt 'P m -3 m'
_space_group_IT_number 221
_space_group_name_Hall '-P 4 2 3'
loop_
_atom_site_label
_atom_site_type_symbol
_atom_site_fract_x
_atom_site_fract_y
_atom_site_fract_z
Nb1 Nb 0.0000 0.0000 0.0000
Cu1 Cu 0.5000 0.5000 0.5000
Sb1 Sb 0.0000 0.0000 0.5000



# NbCuSb (PBE, relaxed)
# M_tot = 0.000 μB per formula unit
# Crystal system = orthorhombic
# Calculated volume = 226 Å³ per cell
# Total DFT energy (no corrections) = -0.431 Ry per atom
data_NbCuSb
_chemical_formula_sum 'Nb4 Cu4 Sb4'
_cell_length_a 12.0939
_cell_length_b 3.9715
_cell_length_c 4.7000
_cell_angle_alpha 90.00
_cell_angle_beta 90.00
_cell_angle_gamma 90.00
_space_group_name_H-M_alt 'A m m 2'
_space_group_IT_number 38
_space_group_name_Hall 'A 2 -2'
loop_
_atom_site_label
_atom_site_type_symbol
_atom_site_fract_x
_atom_site_fract_y
_atom_site_fract_z
Nb1 Nb 0.1428 0.0000 0.0000
Cu1 Cu 0.0000 0.0000 0.5007
Cu2 Cu 0.5000 0.0000 0.8688
Sb1 Sb 0.3207 0.0000 0.5304



# NbCu2Sb4 (PBE, relaxed)
# M_tot = 0.000 μB per formula unit
# Crystal system = tetragonal
# Calculated volume = 373 Å³ per cell
# Total DFT energy (no corrections) = -0.334 Ry per atom
data_NbCu2Sb4
_chemical_formula_sum 'Nb2 Cu4 Sb8'
_cell_length_a 5.3842
_cell_length_b 5.3842
_cell_length_c 12.8554
_cell_angle_alpha 90.00
_cell_angle_beta 90.00
_cell_angle_gamma 90.00
_space_group_name_H-M_alt 'I 4/m m m'
_space_group_IT_number 139
_space_group_name_Hall '-I 4 2'
loop_
_atom_site_label
_atom_site_type_symbol
_atom_site_fract_x
_atom_site_fract_y
_atom_site_fract_z
Nb1 Nb 0.0000 0.0000 0.0000
Cu1 Cu 0.0000 0.0000 0.4079
Sb1 Sb 0.0000 0.0000 0.2140
Sb2 Sb 0.0000 0.5000 0.0000



# NbCuSb2Te (PBE, relaxed)
# M_tot = 0.000 μB per formula unit
# Crystal system = tetragonal
# Energy above the lowest structure with this stoichiometry = 0.000 eV per atom
# Calculated volume = 154 Å³ per cell
# Total DFT energy (no corrections) = -0.328 Ry per atom
data_NbCuSb2Te
_chemical_formula_sum 'Nb1 Cu1 Sb2 Te1'
_cell_length_a 5.3741
_cell_length_b 5.3741
_cell_length_c 5.3301
_cell_angle_alpha 90.00
_cell_angle_beta 90.00
_cell_angle_gamma 90.00
_space_group_name_H-M_alt 'P 4/m m m'
_space_group_IT_number 123
_space_group_name_Hall '-P 4 2'
loop_
_atom_site_label
_atom_site_type_symbol
_atom_site_fract_x
_atom_site_fract_y
_atom_site_fract_z
Nb1 Nb 0.0000 0.0000 0.0000
Cu1 Cu 0.5000 0.5000 0.5000
Sb1 Sb 0.0000 0.5000 0.0000
Te1 Te 0.0000 0.0000 0.5000



# NbCuSb2Te (PBE, relaxed)
# M_tot = 2.711 μB per formula unit
# Crystal system = tetragonal
# Energy above the lowest structure with this stoichiometry = 0.171 eV per atom
# Calculated volume = 129 Å³ per cell
# Total DFT energy (no corrections) = -0.316 Ry per atom
data_NbCuSb2Te
_chemical_formula_sum 'Nb1 Cu1 Sb2 Te1'
_cell_length_a 4.9812
_cell_length_b 4.9812
_cell_length_c 5.1903
_cell_angle_alpha 90.00
_cell_angle_beta 90.00
_cell_angle_gamma 90.00
_space_group_name_H-M_alt 'P 4/m m m'
_space_group_IT_number 123
_space_group_name_Hall '-P 4 2'
loop_
_atom_site_label
_atom_site_type_symbol
_atom_site_fract_x
_atom_site_fract_y
_atom_site_fract_z
Nb1 Nb 0.0000 0.0000 0.0000
Cu1 Cu 0.5000 0.5000 0.5000
Sb1 Sb 0.0000 0.5000 0.5000
Te1 Te 0.5000 0.5000 0.0000



# NbTlCu2Sb (PBE, relaxed)
# M_tot = 1.146 μB per formula unit
# Crystal system = tetragonal
# Calculated volume = 121 Å³ per cell
# Total DFT energy (no corrections) = -0.280 Ry per atom
data_NbTlCu2Sb
_chemical_formula_sum 'Nb1 Tl1 Cu2 Sb1'
_cell_length_a 4.7307
_cell_length_b 4.7307
_cell_length_c 5.4198
_cell_angle_alpha 90.00
_cell_angle_beta 90.00
_cell_angle_gamma 90.00
_space_group_name_H-M_alt 'P 4/m m m'
_space_group_IT_number 123
_space_group_name_Hall '-P 4 2'
loop_
_atom_site_label
_atom_site_type_symbol
_atom_site_fract_x
_atom_site_fract_y
_atom_site_fract_z
Nb1 Nb 0.0000 0.0000 0.0000
Tl1 Tl 0.0000 0.0000 0.5000
Cu1 Cu 0.0000 0.5000 0.5000
Sb1 Sb 0.5000 0.5000 0.0000



# Sc3NbCu (PBE, relaxed)
# M_tot = 0.000 μB per formula unit
# Crystal system = cubic
# Calculated volume = 128 Å³ per cell
# Total DFT energy (no corrections) = -0.428 Ry per atom
data_Sc3NbCu
_chemical_formula_sum 'Sc3 Nb1 Cu1'
_cell_length_a 5.0388
_cell_length_b 5.0388
_cell_length_c 5.0388
_cell_angle_alpha 90.00
_cell_angle_beta 90.00
_cell_angle_gamma 90.00
_space_group_name_H-M_alt 'P m -3 m'
_space_group_IT_number 221
_space_group_name_Hall '-P 4 2 3'
loop_
_atom_site_label
_atom_site_type_symbol
_atom_site_fract_x
_atom_site_fract_y
_atom_site_fract_z
Sc1 Sc 0.0000 0.0000 0.5000
Nb1 Nb 0.0000 0.0000 0.0000
Cu1 Cu 0.5000 0.5000 0.5000



# Sc2Nb2Cu (PBE, relaxed)
# M_tot = 0.000 μB per formula unit
# Crystal system = tetragonal
# Calculated volume = 201 Å³ per cell
# Total DFT energy (no corrections) = -0.520 Ry per atom
data_Sc2Nb2Cu
_chemical_formula_sum 'Sc4 Nb4 Cu2'
_cell_length_a 6.7419
_cell_length_b 6.7419
_cell_length_c 4.4221
_cell_angle_alpha 90.00
_cell_angle_beta 90.00
_cell_angle_gamma 90.00
_space_group_name_H-M_alt 'P 4/m b m'
_space_group_IT_number 127
_space_group_name_Hall '-P 4 2ab'
loop_
_atom_site_label
_atom_site_type_symbol
_atom_site_fract_x
_atom_site_fract_y
_atom_site_fract_z
Sc1 Sc 0.1649 0.3351 0.0000
Nb1 Nb 0.1371 0.6371 0.5000
Cu1 Cu 0.0000 0.0000 0.5000